Below is a relaxed Ca2Ga9Pd3 crystal, with properties calculated at the PBE level.

Lattice parameters (Å, degrees): 7.716 7.716 10.608 90.05 111.17 120.15
Sites, in units of the cell vectors:
Ga: 0.877 0.022 0.069
Ga: 0.780 0.308 0.920
Ga: 0.873 0.123 0.750
Ga: 0.127 0.877 0.250
Ga: 0.454 0.808 0.431
Ga: 0.219 0.525 0.579
Ga: 0.112 0.140 0.420
Ga: 0.539 0.082 0.251
Ga: 0.888 0.860 0.580
Ga: 0.669 0.712 0.751
Ga: 0.461 0.918 0.749
Ga: 0.781 0.475 0.421
Ga: 0.554 0.360 0.079
Ga: 0.220 0.692 0.080
Ga: 0.331 0.288 0.249
Ga: 0.546 0.192 0.569
Ga: 0.123 0.978 0.931
Ga: 0.446 0.640 0.921
Ca: 0.333 0.249 0.750
Ca: 0.999 0.584 0.750
Ca: 0.001 0.416 0.250
Ca: 0.667 0.751 0.250
Pd: 0.162 0.831 0.500
Pd: 0.838 0.169 0.500
Pd: 0.500 0.000 0.000
Pd: 0.169 0.338 0.000
Pd: 0.500 0.500 0.500
Pd: 0.831 0.662 0.000

## Properties
For the density of states at the Fermi level, the calculation gives 0.14 states/eV per atom. The formation energy is -54.3 kJ/mol of atoms. Its space group is C2/c. The volume is 496 Å³/cell. As for the size of the total moment: 0.0 μB/cell.